1.
DFT (GGA-PBE) results for crystalline Ce2PmTc at its relaxed geometry.

abc: 3.4449 3.4449 8.7408
angles: 90.00 90.00 90.00
Positions (direct):
Ce  0.0000  0.0000  0.1970
Ce  0.0000  0.0000  0.8030
Pm  0.5000  0.5000  0.5000
Tc  0.5000  0.5000  0.0000

Offset from the most stable computed form, kcal/mol of atoms: 2.077
Spin magnetization, Bohr magnetons per cell: 0.000
ΔH_f (0 K), eV per formula unit: 0.2
Fermi-level density of states, states/eV/cell: 9.4

2.
DFT (GGA-PBE) results for crystalline Ce2PmTc at its relaxed geometry.

abc: 6.4177 6.4177 6.0787
angles: 90.00 90.00 62.14
Positions (direct):
Ce  0.0119  0.3484  0.2500
Ce  0.3484  0.0119  0.7500
Ce  0.6516  0.9881  0.2500
Ce  0.9881  0.6516  0.7500
Pm  0.3748  0.6252  0.2500
Pm  0.6252  0.3748  0.7500
Tc  0.0000  0.0000  0.0000
Tc  0.0000  0.0000  0.5000

Offset from the most stable computed form, kcal/mol of atoms: 0.857
Spin magnetization, Bohr magnetons per cell: 1.561
ΔH_f (0 K), eV per formula unit: 0.0
Fermi-level density of states, states/eV/cell: 17.0

3.
DFT (GGA-PBE) results for crystalline Ce2PmTc at its relaxed geometry.

abc: 6.2323 6.2323 9.3876
angles: 90.00 90.00 144.93
Positions (direct):
Ce  0.1415  0.8585  0.5625
Ce  0.1415  0.8585  0.9375
Ce  0.8585  0.1415  0.0625
Ce  0.8585  0.1415  0.4375
Pm  0.4245  0.5755  0.7500
Pm  0.5755  0.4245  0.2500
Tc  0.2932  0.7068  0.2500
Tc  0.7068  0.2932  0.7500

Offset from the most stable computed form, kcal/mol of atoms: 0.000
Spin magnetization, Bohr magnetons per cell: 0.000
ΔH_f (0 K), eV per formula unit: -0.2
Fermi-level density of states, states/eV/cell: 13.7

4.
DFT (GGA-PBE) results for crystalline CePmTlTc at its relaxed geometry.

abc: 3.4388 3.4388 8.5825
angles: 90.00 90.00 90.00
Positions (direct):
Ce  0.0000  0.0000  0.0000
Pm  0.0000  0.0000  0.4024
Tl  0.5000  0.5000  0.7012
Tc  0.5000  0.5000  0.1839

Spin magnetization, Bohr magnetons per cell: 0.000
ΔH_f (0 K), eV per formula unit: -0.6
Fermi-level density of states, states/eV/cell: 4.2

5.
DFT (GGA-PBE) results for crystalline CePmZnTc at its relaxed geometry.

abc: 5.0226 5.0226 5.0226
angles: 60.00 60.00 60.00
Positions (direct):
Ce  0.0000  0.0000  0.0000
Pm  0.5000  0.5000  0.5000
Zn  0.7500  0.7500  0.7500
Tc  0.2500  0.2500  0.2500

Spin magnetization, Bohr magnetons per cell: 0.000
ΔH_f (0 K), eV per formula unit: -0.2
Fermi-level density of states, states/eV/cell: 5.8

6.
DFT (GGA-PBE) results for crystalline Ce2PmTe4 at its relaxed geometry.

abc: 7.7280 7.7280 15.3348
angles: 90.00 90.00 147.39
Positions (direct):
Ce  0.1349  0.8651  0.5684
Ce  0.1349  0.8651  0.9316
Ce  0.8651  0.1349  0.0684
Ce  0.8651  0.1349  0.4316
Pm  0.3779  0.6221  0.7500
Pm  0.6221  0.3779  0.2500
Te  0.0337  0.9663  0.7500
Te  0.2197  0.7803  0.1258
Te  0.2197  0.7803  0.3742
Te  0.5000  0.5000  0.0000
Te  0.5000  0.5000  0.5000
Te  0.7803  0.2197  0.6258
Te  0.7803  0.2197  0.8742
Te  0.9663  0.0337  0.2500

Offset from the most stable computed form, kcal/mol of atoms: 1.445
Spin magnetization, Bohr magnetons per cell: 4.950
Formation energy (no corrections), eV per atom: -1.3398
Fermi-level density of states, states/eV/cell: 30.6

7.
DFT (GGA-PBE) results for crystalline Ce4Pm3Te8 at its relaxed geometry.

abc: 9.7175 9.7175 9.7175
angles: 54.53 54.53 54.53
Positions (direct):
Ce  0.0000  0.0000  0.0000
Ce  0.1423  0.1423  0.1423
Ce  0.5000  0.5000  0.5000
Ce  0.8577  0.8577  0.8577
Pm  0.0000  0.5000  0.5000
Pm  0.5000  0.0000  0.5000
Pm  0.5000  0.5000  0.0000
Te  0.2508  0.2508  0.7355
Te  0.2508  0.7355  0.2508
Te  0.2645  0.7492  0.7492
Te  0.2650  0.2650  0.2650
Te  0.7350  0.7350  0.7350
Te  0.7355  0.2508  0.2508
Te  0.7492  0.2645  0.7492
Te  0.7492  0.7492  0.2645

Spin magnetization, Bohr magnetons per cell: 5.447
Formation energy (no corrections), eV per atom: -1.1736
Fermi-level density of states, states/eV/cell: 34.0

8.
DFT (GGA-PBE) results for crystalline Ce4PmTe5 at its relaxed geometry.

abc: 16.1465 16.1465 16.1465
angles: 164.02 164.02 22.67
Positions (direct):
Ce  0.0999  0.0999  0.0000
Ce  0.3000  0.3000  0.0000
Ce  0.7000  0.7000  0.0000
Ce  0.9001  0.9001  0.0000
Pm  0.5000  0.5000  0.0000
Te  0.0000  0.0000  0.0000
Te  0.1999  0.1999  0.0000
Te  0.4004  0.4004  0.0000
Te  0.5996  0.5996  0.0000
Te  0.8001  0.8001  0.0000

Spin magnetization, Bohr magnetons per cell: 4.799
Formation energy (no corrections), eV per atom: -1.3744
Fermi-level density of states, states/eV/cell: 30.2

9.
DFT (GGA-PBE) results for crystalline CePm2Te at its relaxed geometry.

abc: 5.4895 5.4895 5.4895
angles: 60.00 60.00 60.00
Positions (direct):
Ce  0.0000  0.0000  0.0000
Pm  0.2500  0.2500  0.2500
Pm  0.7500  0.7500  0.7500
Te  0.5000  0.5000  0.5000

Offset from the most stable computed form, kcal/mol of atoms: 6.956
Spin magnetization, Bohr magnetons per cell: 2.416
Formation energy (no corrections), eV per atom: -0.2406
Fermi-level density of states, states/eV/cell: 8.9

10.
DFT (GGA-PBE) results for crystalline CePm2Te3 at its relaxed geometry.

abc: 9.0070 9.0070 9.0070
angles: 49.48 49.48 49.48
Positions (direct):
Ce  0.0000  0.0000  0.0000
Ce  0.5000  0.5000  0.5000
Pm  0.1665  0.1665  0.1665
Pm  0.3335  0.3335  0.3335
Pm  0.6665  0.6665  0.6665
Pm  0.8335  0.8335  0.8335
Te  0.0820  0.7500  0.4180
Te  0.2500  0.5820  0.9180
Te  0.4180  0.0820  0.7500
Te  0.5820  0.9180  0.2500
Te  0.7500  0.4180  0.0820
Te  0.9180  0.2500  0.5820

Offset from the most stable computed form, kcal/mol of atoms: 1.083
Spin magnetization, Bohr magnetons per cell: 2.621
Formation energy (no corrections), eV per atom: -1.3543
Fermi-level density of states, states/eV/cell: 19.2

11.
DFT (GGA-PBE) results for crystalline CePm5Te8 at its relaxed geometry.

abc: 8.2310 8.2310 8.2310
angles: 109.53 109.53 109.36
Positions (direct):
Ce  0.0000  0.0000  0.0000
Pm  0.1238  0.2536  0.6305
Pm  0.2500  0.7500  0.5000
Pm  0.5067  0.8762  0.1299
Pm  0.6232  0.4933  0.3695
Pm  0.7464  0.3768  0.8701
Te  0.0254  0.6251  0.7501
Te  0.2270  0.4781  0.1016
Te  0.3749  0.1250  0.4002
Te  0.3765  0.1254  0.8984
Te  0.5219  0.6235  0.7489
Te  0.7248  0.9746  0.5998
Te  0.8750  0.2752  0.2499
Te  0.8746  0.7730  0.2511

Spin magnetization, Bohr magnetons per cell: 1.834
Formation energy (no corrections), eV per atom: -1.4072
Fermi-level density of states, states/eV/cell: 15.0

12.
DFT (GGA-PBE) results for crystalline CePm2Te3 at its relaxed geometry.

abc: 7.7742 7.7742 7.7742
angles: 146.70 132.00 59.67
Positions (direct):
Ce  0.0000  0.0000  0.0000
Pm  0.3318  0.3318  0.0000
Pm  0.6682  0.6682  0.0000
Te  0.1666  0.6666  0.5000
Te  0.5000  0.0000  0.5000
Te  0.8334  0.3334  0.5000

Offset from the most stable computed form, kcal/mol of atoms: 0.000
Spin magnetization, Bohr magnetons per cell: 1.275
Formation energy (no corrections), eV per atom: -1.4013
Fermi-level density of states, states/eV/cell: 8.6

What is the formula in the eleventh record? CePm5Te8

Among the records above, which one has the highest Fermi-level density of states? Ce4Pm3Te8